# 1
A relaxed Al2CuMoRh crystal, computed with GGA-PBE.

Cell lengths 4.589, 4.589, 4.808 Å; angles 90.00, 90.00, 90.00 degrees
Fractional positions:
Al  0.000  0.500  0.000
Al  0.500  0.000  0.000
Cu  0.000  0.000  0.500
Mo  0.500  0.500  0.500
Rh  0.500  0.500  0.000

Computed properties:
Its formation energy is 68.3 kJ per mole of atoms. The calculation puts the density of states at the Fermi level at 4.218 states/eV per cell. Its electronic total energy is -26.226 eV per cell.

---

# 2
A relaxed AlCuMoRu crystal, computed with GGA-PBE.

Cell lengths 4.307, 4.307, 4.307 Å; angles 60.00, 60.00, 60.00 degrees
Fractional positions:
Al  0.000  0.000  0.000
Cu  0.750  0.750  0.750
Mo  0.500  0.500  0.500
Ru  0.250  0.250  0.250

Computed properties:
Its formation energy is -15.0 kJ per mole of atoms. The calculation puts the density of states at the Fermi level at 1.011 states/eV per cell. Its electronic total energy is -28.569 eV per cell.

---

# 3
A relaxed ScAlCuMo2 crystal, computed with GGA-PBE.

Cell lengths 4.563, 4.563, 4.910 Å; angles 90.00, 90.00, 90.00 degrees
Fractional positions:
Sc  0.000  0.000  0.000
Al  0.000  0.000  0.500
Cu  0.500  0.500  0.000
Mo  0.000  0.500  0.500
Mo  0.500  0.000  0.500

Computed properties:
Its formation energy is 128.1 kJ per mole of atoms. The calculation puts the density of states at the Fermi level at 6.656 states/eV per cell. Its electronic total energy is -29.195 eV per cell.

---

Among the records above, which one has the lowest electronic total energy?
ScAlCuMo2